Version one
La5Rh3 | PBE-GGA | optimized geometry

a = 6.411 Å, b = 8.689 Å, c = 8.689 Å
α = 82.18°, β = 68.35°, γ = 68.35°
Sites, in units of the cell vectors:
La: 0.250 0.500 0.500
La: 0.750 0.500 0.500
La: 0.913 0.878 0.297
La: 0.087 0.122 0.703
La: 0.413 0.297 0.878
La: 0.587 0.703 0.122
La: 0.710 0.878 0.703
La: 0.290 0.122 0.297
La: 0.790 0.297 0.122
La: 0.210 0.703 0.878
Rh: 0.250 0.000 0.000
Rh: 0.750 0.000 0.000
Rh: 0.844 0.500 0.812
Rh: 0.156 0.500 0.188
Rh: 0.344 0.812 0.500
Rh: 0.656 0.188 0.500

crystal system: tetragonal
N(E_F): 1.05 states/eV per atom

---

Version two
La5Rh3 | PBE-GGA | optimized geometry

a = 10.416 Å, b = 9.175 Å, c = 7.500 Å
α = 92.18°, β = 95.72°, γ = 139.36°
Sites, in units of the cell vectors:
La: 0.273 0.730 0.563
La: 0.726 0.270 0.437
La: 0.876 0.133 0.816
La: 0.123 0.867 0.184
La: 0.549 0.508 0.269
La: 0.450 0.492 0.731
La: 0.629 0.298 0.911
La: 0.370 0.702 0.089
La: 0.984 0.145 0.304
La: 0.015 0.855 0.696
Rh: 0.797 0.761 0.996
Rh: 0.202 0.239 0.004
Rh: 0.395 0.151 0.539
Rh: 0.604 0.849 0.461
Rh: 0.012 0.555 0.810
Rh: 0.988 0.445 0.190

crystal system: triclinic
N(E_F): 0.75 states/eV per atom

---

Version three
La5Rh3 | PBE-GGA | optimized geometry

a = 8.426 Å, b = 8.426 Å, c = 7.045 Å
α = 90.00°, β = 90.00°, γ = 60.00°
Sites, in units of the cell vectors:
La: 0.000 0.253 0.250
La: 0.000 0.747 0.750
La: 0.253 0.747 0.250
La: 0.253 0.000 0.750
La: 0.333 0.333 0.000
La: 0.333 0.333 0.500
La: 0.667 0.667 0.000
La: 0.667 0.667 0.500
La: 0.747 0.253 0.750
La: 0.747 0.000 0.250
Rh: 0.000 0.385 0.750
Rh: 0.000 0.615 0.250
Rh: 0.385 0.615 0.750
Rh: 0.385 0.000 0.250
Rh: 0.615 0.385 0.250
Rh: 0.615 0.000 0.750

crystal system: hexagonal
N(E_F): 0.86 states/eV per atom

---

Version four
La5Rh3 | PBE-GGA | optimized geometry

a = 6.632 Å, b = 11.446 Å, c = 11.446 Å
α = 90.00°, β = 90.00°, γ = 90.00°
Sites, in units of the cell vectors:
La: 0.392 0.292 0.092
La: 0.892 0.292 0.908
La: 0.892 0.708 0.092
La: 0.392 0.708 0.908
La: 0.892 0.592 0.792
La: 0.392 0.592 0.208
La: 0.392 0.408 0.792
La: 0.892 0.408 0.208
La: 0.608 0.208 0.408
La: 0.108 0.208 0.592
La: 0.108 0.792 0.408
La: 0.608 0.792 0.592
La: 0.108 0.908 0.708
La: 0.608 0.908 0.292
La: 0.608 0.092 0.708
La: 0.108 0.092 0.292
La: 0.500 0.000 0.000
La: 0.000 0.000 0.000
La: 0.000 0.500 0.500
La: 0.500 0.500 0.500
Rh: 0.250 0.844 0.156
Rh: 0.750 0.844 0.844
Rh: 0.750 0.156 0.156
Rh: 0.250 0.156 0.844
Rh: 0.750 0.656 0.344
Rh: 0.250 0.656 0.656
Rh: 0.250 0.344 0.344
Rh: 0.750 0.344 0.656
Rh: 0.132 0.500 0.000
Rh: 0.632 0.500 0.000
Rh: 0.868 0.000 0.500
Rh: 0.368 0.000 0.500

crystal system: tetragonal
N(E_F): 0.77 states/eV per atom

---

Most stable of them? version two.

---

Version one
La4Rh3 | PBE-GGA | optimized geometry

a = 5.678 Å, b = 5.678 Å, c = 5.885 Å
α = 90.00°, β = 90.00°, γ = 120.00°
Sites, in units of the cell vectors:
La: 0.000 0.000 0.238
La: 0.000 0.000 0.762
La: 0.667 0.333 0.500
La: 0.333 0.667 0.500
Rh: 0.000 0.500 0.000
Rh: 0.500 0.500 0.000
Rh: 0.500 0.000 0.000

crystal system: hexagonal
N(E_F): 1.18 states/eV per atom

---

Version two
La4Rh3 | PBE-GGA | optimized geometry

a = 5.018 Å, b = 5.018 Å, c = 8.854 Å
α = 73.54°, β = 73.54°, γ = 60.00°
Sites, in units of the cell vectors:
La: 0.375 0.375 0.875
La: 0.125 0.125 0.626
La: 0.875 0.875 0.374
La: 0.625 0.625 0.125
Rh: 0.753 0.753 0.742
Rh: 0.247 0.247 0.258
Rh: 0.000 0.000 0.000

crystal system: trigonal
N(E_F): 0.49 states/eV per atom

---

Version three
La4Rh3 | PBE-GGA | optimized geometry

a = 12.468 Å, b = 12.468 Å, c = 12.468 Å
α = 161.58°, β = 161.58°, γ = 26.16°
Sites, in units of the cell vectors:
La: 0.809 0.809 0.000
La: 0.565 0.565 0.000
La: 0.435 0.435 0.000
La: 0.191 0.191 0.000
Rh: 0.000 0.000 0.000
Rh: 0.681 0.681 0.000
Rh: 0.319 0.319 0.000

crystal system: tetragonal
N(E_F): 0.76 states/eV per atom

---

Most stable of them? version two.

---

Version one
La2Rh7 | PBE-GGA | optimized geometry

a = 13.667 Å, b = 13.667 Å, c = 13.667 Å
α = 22.50°, β = 22.50°, γ = 22.50°
Sites, in units of the cell vectors:
La: 0.949 0.949 0.949
La: 0.051 0.051 0.051
La: 0.853 0.853 0.853
La: 0.147 0.147 0.147
Rh: 0.500 0.500 0.500
Rh: 0.722 0.722 0.722
Rh: 0.278 0.278 0.278
Rh: 0.611 0.611 0.611
Rh: 0.389 0.389 0.389
Rh: 0.500 0.500 0.000
Rh: 0.000 0.500 0.500
Rh: 0.500 0.000 0.500
Rh: 0.390 0.891 0.390
Rh: 0.390 0.390 0.891
Rh: 0.891 0.390 0.390
Rh: 0.610 0.109 0.610
Rh: 0.610 0.610 0.109
Rh: 0.109 0.610 0.610

crystal system: trigonal
N(E_F): 1.09 states/eV per atom

---

Version two
La2Rh7 | PBE-GGA | optimized geometry

a = 5.337 Å, b = 5.337 Å, c = 26.590 Å
α = 90.00°, β = 90.00°, γ = 120.00°
Sites, in units of the cell vectors:
La: 0.667 0.333 0.175
La: 0.333 0.667 0.675
La: 0.333 0.667 0.825
La: 0.667 0.333 0.325
La: 0.667 0.333 0.029
La: 0.333 0.667 0.529
La: 0.333 0.667 0.971
La: 0.667 0.333 0.471
Rh: 0.000 0.000 0.000
Rh: 0.000 0.000 0.500
Rh: 0.000 0.000 0.167
Rh: 0.000 0.000 0.667
Rh: 0.000 0.000 0.833
Rh: 0.000 0.000 0.333
Rh: 0.667 0.333 0.833
Rh: 0.333 0.667 0.333
Rh: 0.333 0.667 0.167
Rh: 0.667 0.333 0.667
Rh: 0.667 0.833 0.250
Rh: 0.167 0.833 0.250
Rh: 0.167 0.333 0.250
Rh: 0.333 0.167 0.750
Rh: 0.833 0.167 0.750
Rh: 0.833 0.667 0.750
Rh: 0.666 0.833 0.086
Rh: 0.167 0.833 0.086
Rh: 0.167 0.334 0.086
Rh: 0.334 0.167 0.586
Rh: 0.833 0.167 0.586
Rh: 0.833 0.666 0.586
Rh: 0.833 0.167 0.914
Rh: 0.334 0.167 0.914
Rh: 0.833 0.666 0.914
Rh: 0.167 0.833 0.414
Rh: 0.666 0.833 0.414
Rh: 0.167 0.334 0.414

crystal system: hexagonal
N(E_F): 1.21 states/eV per atom

---

Most stable of them? version two.

---

Version one
La4RuRh2 | PBE-GGA | optimized geometry

a = 4.374 Å, b = 6.246 Å, c = 7.429 Å
α = 80.76°, β = 72.88°, γ = 69.50°
Sites, in units of the cell vectors:
La: 0.081 0.215 0.623
La: 0.919 0.785 0.377
La: 0.313 0.286 0.088
La: 0.687 0.714 0.912
Ru: 0.000 0.000 0.000
Rh: 0.340 0.673 0.647
Rh: 0.660 0.327 0.353

crystal system: monoclinic
N(E_F): 0.53 states/eV per atom

---

Version two
La4RuRh2 | PBE-GGA | optimized geometry

a = 5.289 Å, b = 5.289 Å, c = 8.279 Å
α = 71.37°, β = 71.37°, γ = 90.00°
Sites, in units of the cell vectors:
Ru: 0.000 0.000 0.000
Rh: 0.639 0.639 0.723
Rh: 0.361 0.361 0.277
La: 0.802 0.802 0.396
La: 0.198 0.198 0.604
La: 0.000 0.500 0.000
La: 0.500 0.000 0.000

crystal system: tetragonal
N(E_F): 0.72 states/eV per atom

---

Most stable of them? version one.

---

Version one
La4RuRh | PBE-GGA | optimized geometry

a = 6.075 Å, b = 6.075 Å, c = 6.075 Å
α = 60.00°, β = 60.00°, γ = 60.00°
Sites, in units of the cell vectors:
La: 0.876 0.375 0.375
La: 0.375 0.375 0.876
La: 0.375 0.876 0.375
La: 0.375 0.375 0.375
Ru: 0.000 0.000 0.000
Rh: 0.750 0.750 0.750

crystal system: cubic
N(E_F): 1.35 states/eV per atom

---

Version two
La4RuRh | PBE-GGA | optimized geometry

a = 7.086 Å, b = 7.095 Å, c = 8.858 Å
α = 106.89°, β = 106.85°, γ = 105.97°
Sites, in units of the cell vectors:
La: 0.304 0.063 0.603
La: 0.054 0.800 0.102
La: 0.201 0.460 0.397
La: 0.452 0.698 0.898
La: 0.696 0.937 0.397
La: 0.799 0.540 0.603
La: 0.946 0.200 0.898
La: 0.548 0.302 0.102
Ru: 0.342 0.592 0.184
Ru: 0.658 0.408 0.816
Rh: 0.836 0.086 0.172
Rh: 0.164 0.914 0.828

crystal system: monoclinic
N(E_F): 0.71 states/eV per atom

---

Most stable of them? version two.

---

Version one
La3RuRh | PBE-GGA | optimized geometry

a = 8.491 Å, b = 7.571 Å, c = 8.848 Å
α = 90.00°, β = 74.11°, γ = 90.00°
Sites, in units of the cell vectors:
La: 0.396 0.165 0.791
La: 0.604 0.835 0.209
La: 0.104 0.665 0.209
La: 0.896 0.335 0.791
La: 0.486 0.699 0.850
La: 0.514 0.301 0.150
La: 0.014 0.199 0.150
La: 0.986 0.801 0.850
La: 0.780 0.992 0.544
La: 0.220 0.008 0.456
La: 0.720 0.492 0.456
La: 0.280 0.508 0.544
Ru: 0.490 0.808 0.545
Ru: 0.510 0.192 0.455
Ru: 0.010 0.308 0.455
Ru: 0.990 0.692 0.545
Rh: 0.686 0.031 0.908
Rh: 0.314 0.969 0.092
Rh: 0.814 0.531 0.092
Rh: 0.186 0.469 0.908

crystal system: monoclinic
N(E_F): 0.67 states/eV per atom

---

Version two
La3RuRh | PBE-GGA | optimized geometry

a = 5.370 Å, b = 5.370 Å, c = 5.370 Å
α = 90.00°, β = 90.00°, γ = 90.00°
Sites, in units of the cell vectors:
Ru: 0.000 0.000 0.000
Rh: 0.500 0.500 0.500
La: 0.000 0.500 0.000
La: 0.000 0.000 0.500
La: 0.500 0.000 0.000

crystal system: cubic
N(E_F): 1.16 states/eV per atom

---

Most stable of them? version one.

---

Version one
LaRu3Rh | PBE-GGA | optimized geometry

a = 4.739 Å, b = 4.739 Å, c = 4.739 Å
α = 90.00°, β = 90.00°, γ = 90.00°
Sites, in units of the cell vectors:
Ru: 0.000 0.500 0.000
Ru: 0.000 0.000 0.500
Ru: 0.500 0.000 0.000
Rh: 0.000 0.000 0.000
La: 0.500 0.500 0.500

crystal system: cubic
N(E_F): 1.62 states/eV per atom

---

Version two
LaRu3Rh | PBE-GGA | optimized geometry

a = 4.725 Å, b = 4.725 Å, c = 4.725 Å
α = 90.00°, β = 90.00°, γ = 90.00°
Sites, in units of the cell vectors:
Ru: 0.000 0.500 0.000
Ru: 0.000 0.000 0.500
Ru: 0.500 0.000 0.000
Rh: 0.500 0.500 0.500
La: 0.000 0.000 0.000

crystal system: cubic
N(E_F): 1.79 states/eV per atom

---

Most stable of them? version one.

---

Version one
LaRh3S | PBE-GGA | optimized geometry

a = 4.913 Å, b = 4.913 Å, c = 4.913 Å
α = 90.00°, β = 90.00°, γ = 90.00°
Sites, in units of the cell vectors:
S: 0.500 0.500 0.500
Rh: 0.000 0.500 0.000
Rh: 0.000 0.000 0.500
Rh: 0.500 0.000 0.000
La: 0.000 0.000 0.000

crystal system: cubic
N(E_F): 1.20 states/eV per atom

---

Version two
LaRh3S | PBE-GGA | optimized geometry

a = 4.530 Å, b = 4.530 Å, c = 4.530 Å
α = 90.00°, β = 90.00°, γ = 90.00°
Sites, in units of the cell vectors:
S: 0.000 0.000 0.000
Rh: 0.000 0.500 0.000
Rh: 0.000 0.000 0.500
Rh: 0.500 0.000 0.000
La: 0.500 0.500 0.500

crystal system: cubic
N(E_F): 1.16 states/eV per atom

---

Most stable of them? version two.

---

Version one
La2RhS2 | PBE-GGA | optimized geometry

a = 5.665 Å, b = 5.665 Å, c = 5.667 Å
α = 60.01°, β = 60.01°, γ = 90.00°
Sites, in units of the cell vectors:
S: 0.290 0.290 0.420
S: 0.710 0.710 0.580
Rh: 0.000 0.000 0.000
La: 0.750 0.250 0.500
La: 0.250 0.750 0.500

crystal system: tetragonal
N(E_F): 0.64 states/eV per atom

---

Version two
La2RhS2 | PBE-GGA | optimized geometry

a = 7.543 Å, b = 7.543 Å, c = 3.861 Å
α = 90.00°, β = 90.00°, γ = 90.00°
Sites, in units of the cell vectors:
S: 0.349 0.849 0.000
S: 0.849 0.651 0.000
S: 0.651 0.151 0.000
S: 0.151 0.349 0.000
Rh: 0.000 0.000 0.000
Rh: 0.500 0.500 0.000
La: 0.163 0.663 0.500
La: 0.663 0.837 0.500
La: 0.837 0.337 0.500
La: 0.337 0.163 0.500

crystal system: tetragonal
N(E_F): 0.61 states/eV per atom

---

Most stable of them? version one.